#P
## PmPa2Se5 (PBE)

Data for a relaxed PmPa2Se5 crystal.

Unit cell a=7.667 b=7.667 c=13.429 alpha=90.00 beta=90.00 gamma=90.00
Space group I4/mcm (No. 140)
Asymmetric unit:
Pm 0.000 0.000 0.250
Pa 0.149 0.351 0.000
Se 0.000 0.000 0.000
Se 0.158 0.342 0.354

total magnetic moment = 2.97 μB per formula unit

#Q
## PmPa2Se5 (PBE)

Data for a relaxed PmPa2Se5 crystal.

Unit cell a=12.679 b=8.177 c=7.762 alpha=90.00 beta=90.00 gamma=90.00
Space group Pnma (No. 62)
Asymmetric unit:
Pm 0.004 0.250 0.085
Pa 0.181 0.501 0.511
Se 0.001 0.250 0.472
Se 0.109 0.545 0.162
Se 0.182 0.250 0.820
Se 0.215 0.750 0.791

total magnetic moment = 2.60 μB per formula unit

Stability ranking, top and bottom: #Q is the most stable and #P is the least stable.

#P
## PmSm2Pa (PBE)

Data for a relaxed PmSm2Pa crystal.

Unit cell a=3.3781 b=3.3781 c=37.4544 alpha=90.00 beta=90.00 gamma=120.00
Space group R-3m (No. 166, hexagonal axes)
Asymmetric unit:
Pm 0.0000 0.0000 0.0000
Sm 0.0000 0.0000 0.4139
Pa 0.0000 0.0000 0.5000

total magnetic moment = 0.00 μB per formula unit

#Q
## PmSm2Pa (PBE)

Data for a relaxed PmSm2Pa crystal.

Unit cell a=3.443 b=3.443 c=10.508 alpha=90.00 beta=90.00 gamma=90.00
Space group P4/mmm (No. 123)
Asymmetric unit:
Pm 0.000 0.000 0.000
Sm 0.500 0.500 0.272
Pa 0.000 0.000 0.500

total magnetic moment = 0.00 μB per formula unit

Stability ranking, top and bottom: #Q is the most stable and #P is the least stable.

#P
## PmPaSn (PBE)

Data for a relaxed PmPaSn crystal.

Unit cell a=4.078 b=4.078 c=10.095 alpha=90.00 beta=90.00 gamma=90.00
Space group I4mm (No. 107)
Asymmetric unit:
Pm 0.000 0.000 0.000
Pa 0.000 0.000 0.303
Sn 0.000 0.000 0.652

total magnetic moment = 0.85 μB per formula unit

#Q
## PmPaSn (PBE)

Data for a relaxed PmPaSn crystal.

Unit cell a=18.244 b=3.308 c=5.604 alpha=90.00 beta=103.57 gamma=90.00
Space group C2/m (No. 12)
Asymmetric unit:
Pm 0.071 0.000 0.295
Pa 0.245 0.000 0.752
Sn 0.095 0.500 0.818

total magnetic moment = 0.00 μB per formula unit

Stability ranking, top and bottom: #Q is the most stable and #P is the least stable.

#P
## PmPaSn (PBE)

Data for a relaxed PmPaSn crystal.

Unit cell a=5.3880 b=5.3880 c=3.3239 alpha=90.00 beta=90.00 gamma=120.00
Space group P3m1 (No. 156)
Asymmetric unit:
Pm 0.0000 0.0000 0.0000
Pa 0.6667 0.3333 0.4302
Sn 0.3333 0.6667 0.7327

total magnetic moment = 1.58 μB per formula unit

#Q
## PmPaSn (PBE)

Data for a relaxed PmPaSn crystal.

Unit cell a=3.221 b=17.749 c=5.876 alpha=90.00 beta=90.00 gamma=90.00
Space group Cmcm (No. 63)
Asymmetric unit:
Pm 0.000 0.000 0.000
Pa 0.000 0.179 0.250
Sn 0.000 0.356 0.250

total magnetic moment = 0.94 μB per formula unit

Stability ranking, top and bottom: #P is the most stable and #Q is the least stable.

#P
## PmPaTc (PBE)

Data for a relaxed PmPaTc crystal.

Unit cell a=3.509 b=3.509 c=11.476 alpha=90.00 beta=90.00 gamma=90.00
Space group I4mm (No. 107)
Asymmetric unit:
Pm 0.000 0.000 0.000
Pa 0.000 0.000 0.300
Tc 0.000 0.000 0.694

total magnetic moment = 0.00 μB per formula unit

#Q
## PmPaTc (PBE)

Data for a relaxed PmPaTc crystal.

Unit cell a=3.9356 b=3.9356 c=6.1613 alpha=90.00 beta=90.00 gamma=120.00
Space group P3m1 (No. 156)
Asymmetric unit:
Pm 0.0000 0.0000 0.0000
Pa 0.6667 0.3333 0.4885
Tc 0.3333 0.6667 0.6858

total magnetic moment = 0.00 μB per formula unit

Stability ranking, top and bottom: #P is the most stable and #Q is the least stable.

#P
## PmPa2Tc (PBE)

Data for a relaxed PmPa2Tc crystal.

Unit cell a=3.355 b=3.355 c=8.800 alpha=90.00 beta=90.00 gamma=90.00
Space group P4/mmm (No. 123)
Asymmetric unit:
Pm 0.000 0.000 0.000
Pa 0.500 0.500 0.301
Tc 0.000 0.000 0.500

total magnetic moment = 0.00 μB per formula unit

#Q
## PmPa2Tc (PBE)

Data for a relaxed PmPa2Tc crystal.

Unit cell a=5.226 b=5.226 c=3.389 alpha=90.00 beta=90.00 gamma=90.00
Space group P4/mmm (No. 123)
Asymmetric unit:
Pm 0.000 0.000 0.000
Pa 0.000 0.500 0.500
Tc 0.500 0.500 0.000

total magnetic moment = 0.00 μB per formula unit

Stability ranking, top and bottom: #P is the most stable and #Q is the least stable.

#P
## Pm2PaTe (PBE)

Data for a relaxed Pm2PaTe crystal.

Unit cell a=3.805 b=3.805 c=8.251 alpha=90.00 beta=90.00 gamma=90.00
Space group P4/mmm (No. 123)
Asymmetric unit:
Pm 0.000 0.000 0.232
Pa 0.500 0.500 0.500
Te 0.500 0.500 0.000

total magnetic moment = 0.49 μB per formula unit

#Q
## Pm2PaTe (PBE)

Data for a relaxed Pm2PaTe crystal.

Unit cell a=5.117 b=5.117 c=4.233 alpha=90.00 beta=90.00 gamma=90.00
Space group P4/mmm (No. 123)
Asymmetric unit:
Pm 0.000 0.500 0.000
Pa 0.000 0.000 0.500
Te 0.500 0.500 0.500

total magnetic moment = 0.07 μB per formula unit

Stability ranking, top and bottom: #P is the most stable and #Q is the least stable.

#P
## PmThPa (PBE)

Data for a relaxed PmThPa crystal.

Unit cell a=9.312 b=6.669 c=11.808 alpha=90.00 beta=90.00 gamma=90.00
Space group Amm2 (No. 38)
Asymmetric unit:
Pm 0.000 0.222 0.000
Pm 0.237 0.000 0.587
Th 0.000 0.000 0.773
Th 0.500 0.000 0.410
Th 0.500 0.235 0.174
Pa 0.178 0.000 0.262
Pa 0.354 0.000 0.912

total magnetic moment = 0.34 μB per formula unit

#Q
## PmThPa (PBE)

Data for a relaxed PmThPa crystal.

Unit cell a=4.088 b=4.088 c=10.690 alpha=90.00 beta=90.00 gamma=90.00
Space group I4mm (No. 107)
Asymmetric unit:
Pm 0.000 0.000 0.000
Th 0.000 0.000 0.320
Pa 0.000 0.000 0.664

total magnetic moment = 0.00 μB per formula unit

#R
## PmThPa (PBE)

Data for a relaxed PmThPa crystal.

Unit cell a=5.5530 b=5.5530 c=3.3683 alpha=90.00 beta=90.00 gamma=120.00
Space group P-6m2 (No. 187)
Asymmetric unit:
Pm 0.0000 0.0000 0.0000
Th 0.6667 0.3333 0.5000
Pa 0.3333 0.6667 0.0000

total magnetic moment = 0.01 μB per formula unit

Stability ranking, top and bottom: #R is the most stable and #P is the least stable.

#P
## Pm2PaTl (PBE)

Data for a relaxed Pm2PaTl crystal.

Unit cell a=7.711 b=7.711 c=7.711 alpha=90.00 beta=90.00 gamma=90.00
Space group Fm-3m (No. 225)
Asymmetric unit:
Pm 0.250 0.250 0.250
Pa 0.000 0.000 0.000
Tl 0.000 0.000 0.500

total magnetic moment = 0.17 μB per formula unit

#Q
## Pm2PaTl (PBE)

Data for a relaxed Pm2PaTl crystal.

Unit cell a=3.502 b=3.502 c=9.543 alpha=90.00 beta=90.00 gamma=90.00
Space group P4/mmm (No. 123)
Asymmetric unit:
Pm 0.000 0.000 0.246
Pa 0.500 0.500 0.500
Tl 0.500 0.500 0.000

total magnetic moment = 0.46 μB per formula unit

Stability ranking, top and bottom: #Q is the most stable and #P is the least stable.

#P
## Pm2PaTl (PBE)

Data for a relaxed Pm2PaTl crystal.

Unit cell a=4.981 b=4.981 c=4.583 alpha=90.00 beta=90.00 gamma=90.00
Space group P4/mmm (No. 123)
Asymmetric unit:
Pm 0.000 0.500 0.000
Pa 0.000 0.000 0.500
Tl 0.500 0.500 0.500

total magnetic moment = 0.00 μB per formula unit

#Q
## Pm2PaTl (PBE)

Data for a relaxed Pm2PaTl crystal.

Unit cell a=3.4742 b=3.4742 c=36.2666 alpha=90.00 beta=90.00 gamma=120.00
Space group R-3m (No. 166, hexagonal axes)
Asymmetric unit:
Pm 0.0000 0.0000 0.0908
Pa 0.0000 0.0000 0.5000
Tl 0.0000 0.0000 0.0000

total magnetic moment = 0.00 μB per formula unit

Stability ranking, top and bottom: #P is the most stable and #Q is the least stable.

#P
## Pm2TmPa (PBE)

Data for a relaxed Pm2TmPa crystal.

Unit cell a=7.949 b=7.949 c=7.949 alpha=90.00 beta=90.00 gamma=90.00
Space group Fm-3m (No. 225)
Asymmetric unit:
Pm 0.250 0.250 0.250
Tm 0.000 0.000 0.000
Pa 0.000 0.000 0.500

total magnetic moment = 3.71 μB per formula unit

#Q
## Pm2TmPa (PBE)

Data for a relaxed Pm2TmPa crystal.

Unit cell a=4.979 b=4.979 c=4.910 alpha=90.00 beta=90.00 gamma=90.00
Space group P4/mmm (No. 123)
Asymmetric unit:
Pm 0.000 0.500 0.000
Tm 0.000 0.000 0.500
Pa 0.500 0.500 0.500

total magnetic moment = 0.00 μB per formula unit

#R
## Pm2TmPa (PBE)

Data for a relaxed Pm2TmPa crystal.

Unit cell a=3.436 b=3.436 c=10.337 alpha=90.00 beta=90.00 gamma=90.00
Space group P4/mmm (No. 123)
Asymmetric unit:
Pm 0.000 0.000 0.235
Tm 0.500 0.500 0.500
Pa 0.500 0.500 0.000

total magnetic moment = 0.00 μB per formula unit

Stability ranking, top and bottom: #R is the most stable and #P is the least stable.

#P
## PmTmPa (PBE)

Data for a relaxed PmTmPa crystal.

Unit cell a=3.4293 b=3.4293 c=8.5939 alpha=90.00 beta=90.00 gamma=120.00
Space group P3m1 (No. 156)
Asymmetric unit:
Pm 0.0000 0.0000 0.0000
Tm 0.3333 0.6667 0.6390
Pa 0.6667 0.3333 0.3248

total magnetic moment = 0.00 μB per formula unit

#Q
## PmTmPa (PBE)

Data for a relaxed PmTmPa crystal.

Unit cell a=4.774 b=15.417 c=4.788 alpha=90.00 beta=90.00 gamma=90.00
Space group Cmcm (No. 63)
Asymmetric unit:
Pm 0.000 0.093 0.250
Tm 0.000 0.407 0.250
Pa 0.000 0.250 0.750

total magnetic moment = 0.02 μB per formula unit

Stability ranking, top and bottom: #P is the most stable and #Q is the least stable.